Record 1
## CoBiTe (PBE-GGA)

Data for a geometry-optimized CoBiTe structure.

Unit cell a=3.412 b=7.355 c=6.540 alpha=106.10 beta=105.12 gamma=90.00
Fractional positions:
Te 0.025 0.727 0.050
Te 0.975 0.273 0.950
Co 0.837 0.472 0.674
Co 0.163 0.528 0.326
Bi 0.775 0.781 0.551
Bi 0.225 0.219 0.449

Values from the calculation:
- Space-group type: No. 12
- Formation energy (no corrections): 0.151 eV per atom
- DFT total energy: -4.5583 eV per atom

=====

Record 2
## B2C (PBE-GGA)

Data for a geometry-optimized B2C structure.

Unit cell a=2.673 b=3.764 c=9.027 alpha=80.31 beta=90.00 gamma=90.00
Fractional positions:
B 0.000 0.275 0.258
B 0.000 0.936 0.944
B 0.500 0.734 0.048
B 0.500 0.636 0.494
B 0.000 0.293 0.492
B 0.000 0.901 0.393
B 0.500 0.779 0.294
B 0.500 0.441 0.772
C 0.500 0.464 0.194
C 0.000 0.221 0.801
C 0.000 0.023 0.655
C 0.500 0.798 0.654

Values from the calculation:
- Space-group type: No. 6
- DFT total energy: -7.0689 eV per atom
- Formation enthalpy at 0 K: 1.4 eV/f.u.
- Relative energy among the computed polymorphs: 272.1 meV per atom

=====

Record 3
## Ce2Pm3Pb4 (PBE-GGA)

Data for a geometry-optimized Ce2Pm3Pb4 structure.

Unit cell a=4.990 b=6.890 c=10.020 alpha=119.01 beta=104.42 gamma=90.00
Fractional positions:
Ce 0.665 0.247 0.330
Ce 0.335 0.753 0.670
Pm 0.111 0.648 0.223
Pm 0.889 0.352 0.777
Pm 0.000 0.000 0.000
Pb 0.505 0.726 0.010
Pb 0.257 0.195 0.514
Pb 0.495 0.274 0.990
Pb 0.743 0.805 0.486

Values from the calculation:
- Space-group type: No. 12
- DFT total energy: -4.9468 eV per atom
- Formation enthalpy at 0 K: -3.6 eV/f.u.
- Relative energy among the computed polymorphs: 0.0 meV per atom